No. 1
VASP calculation (PBE) on CaMg5Au2 after structural relaxation.

abc: 7.033 7.033 7.033
angles: 145.46 106.34 83.97
Element x y z (fractional)
Ca (0.000, 0.000, 0.000)
Mg (0.156, 0.344, 0.812)
Mg (0.468, 0.656, 0.812)
Mg (0.500, 0.000, 0.500)
Mg (0.532, 0.344, 0.188)
Mg (0.844, 0.656, 0.188)
Au (0.236, 0.736, 0.500)
Au (0.764, 0.264, 0.500)


No. 2
VASP calculation (PBE) on Ca16Mg12Au after structural relaxation.

abc: 10.590 10.590 10.582
angles: 108.92 108.92 109.01
Element x y z (fractional)
Ca (0.000, 0.000, 0.000)
Ca (0.281, 0.576, 0.578)
Ca (0.286, 0.286, 0.686)
Ca (0.304, 0.709, 0.296)
Ca (0.395, 0.986, 0.669)
Ca (0.410, 0.410, 0.305)
Ca (0.424, 0.648, 0.016)
Ca (0.576, 0.281, 0.578)
Ca (0.633, 0.978, 0.986)
Ca (0.648, 0.424, 0.016)
Ca (0.677, 0.989, 0.395)
Ca (0.709, 0.304, 0.296)
Ca (0.978, 0.633, 0.986)
Ca (0.980, 0.980, 0.639)
Ca (0.986, 0.395, 0.669)
Ca (0.989, 0.677, 0.395)
Mg (0.146, 0.334, 0.963)
Mg (0.170, 0.793, 0.803)
Mg (0.177, 0.990, 0.343)
Mg (0.334, 0.146, 0.963)
Mg (0.359, 0.983, 0.160)
Mg (0.626, 0.806, 0.614)
Mg (0.634, 0.634, 0.813)
Mg (0.793, 0.170, 0.803)
Mg (0.806, 0.626, 0.614)
Mg (0.820, 0.820, 0.186)
Mg (0.983, 0.359, 0.160)
Mg (0.990, 0.177, 0.343)
Au (0.685, 0.685, 0.346)


No. 3
VASP calculation (PBE) on CaMg2Au4 after structural relaxation.

Computed properties:
Distance to the lowest polymorph of the same formula ... 0 meV per atom

abc: 5.741 5.741 5.741
angles: 103.97 103.97 121.15
Element x y z (fractional)
Ca (0.000, 0.000, 0.000)
Mg (0.250, 0.750, 0.500)
Mg (0.750, 0.250, 0.500)
Au (0.299, 0.299, 0.599)
Au (0.299, 0.701, 0.000)
Au (0.701, 0.299, 0.000)
Au (0.701, 0.701, 0.401)


No. 4
VASP calculation (PBE) on Ca2Mg3Au4 after structural relaxation.

Computed properties:
Distance to the lowest polymorph of the same formula ... 46 meV per atom

abc: 8.773 8.773 7.756
angles: 90.00 90.00 138.36
Element x y z (fractional)
Ca (0.104, 0.896, 0.908)
Ca (0.396, 0.604, 0.408)
Ca (0.604, 0.396, 0.592)
Ca (0.896, 0.104, 0.092)
Mg (0.000, 0.000, 0.500)
Mg (0.023, 0.477, 0.750)
Mg (0.477, 0.023, 0.250)
Mg (0.500, 0.500, 0.000)
Mg (0.523, 0.977, 0.750)
Mg (0.977, 0.523, 0.250)
Au (0.176, 0.824, 0.534)
Au (0.192, 0.308, 0.750)
Au (0.308, 0.192, 0.250)
Au (0.324, 0.676, 0.034)
Au (0.676, 0.324, 0.966)
Au (0.692, 0.808, 0.750)
Au (0.808, 0.692, 0.250)
Au (0.824, 0.176, 0.466)


No. 5
VASP calculation (PBE) on Ca2MgAu6 after structural relaxation.

abc: 6.073 6.073 6.031
angles: 90.00 90.00 120.00
Element x y z (fractional)
Ca (0.333, 0.667, 0.343)
Ca (0.667, 0.333, 0.657)
Mg (0.000, 0.000, 0.500)
Au (0.177, 0.354, 0.817)
Au (0.177, 0.823, 0.817)
Au (0.354, 0.177, 0.183)
Au (0.646, 0.823, 0.817)
Au (0.823, 0.177, 0.183)
Au (0.823, 0.646, 0.183)


No. 6
VASP calculation (PBE) on Ca2Mg2Au15 after structural relaxation.

abc: 7.357 7.357 7.357
angles: 81.21 81.21 81.21
Element x y z (fractional)
Ca (0.147, 0.147, 0.147)
Ca (0.853, 0.853, 0.853)
Mg (0.396, 0.396, 0.396)
Mg (0.604, 0.604, 0.604)
Au (0.000, 0.500, 0.500)
Au (0.147, 0.147, 0.654)
Au (0.147, 0.654, 0.147)
Au (0.198, 0.500, 0.802)
Au (0.198, 0.802, 0.500)
Au (0.346, 0.853, 0.853)
Au (0.500, 0.000, 0.500)
Au (0.500, 0.198, 0.802)
Au (0.500, 0.500, 0.000)
Au (0.500, 0.802, 0.198)
Au (0.654, 0.147, 0.147)
Au (0.802, 0.198, 0.500)
Au (0.802, 0.500, 0.198)
Au (0.853, 0.346, 0.853)
Au (0.853, 0.853, 0.346)


No. 7
VASP calculation (PBE) on CaMgAu6 after structural relaxation.

Computed properties:
Distance to the lowest polymorph of the same formula ... 0 meV per atom

abc: 4.869 6.071 5.170
angles: 90.00 90.00 90.00
Element x y z (fractional)
Ca (0.000, 0.000, 0.000)
Mg (0.500, 0.500, 0.329)
Au (0.000, 0.262, 0.496)
Au (0.000, 0.500, 0.003)
Au (0.000, 0.738, 0.496)
Au (0.500, 0.000, 0.362)
Au (0.500, 0.262, 0.837)
Au (0.500, 0.738, 0.837)


No. 8
VASP calculation (PBE) on Ca4MgAu after structural relaxation.

Computed properties:
Distance to the lowest polymorph of the same formula ... 65 meV per atom

abc: 8.447 8.447 6.450
angles: 101.39 101.39 111.71
Element x y z (fractional)
Ca (0.063, 0.716, 0.940)
Ca (0.205, 0.365, 0.641)
Ca (0.284, 0.937, 0.560)
Ca (0.365, 0.205, 0.141)
Ca (0.635, 0.795, 0.859)
Ca (0.716, 0.063, 0.440)
Ca (0.795, 0.635, 0.359)
Ca (0.937, 0.284, 0.060)
Mg (0.378, 0.622, 0.250)
Mg (0.622, 0.378, 0.750)
Au (0.000, 0.000, 0.250)
Au (0.000, 0.000, 0.750)


Computed final energy (eV per atom) in order:
-2.4990, -1.9601, -3.2637, -3.0695, -3.3801, -3.3136, -3.3658, -2.4363
Computed E_form (eV per formula unit) in order:
-3.5, -2.4, -4.5, -5.7, -5.2, -6.6, -3.7, -1.7